A geometry-optimized Sr3In2Ga3 structure. Source: Alexandria via LeMat-Bulk, functional PBE-GGA.

size of the total moment: 0.000 μB/atom
formation energy from the elements: -456 meV/atom

POSCAR file:
```
Sr3In2Ga3
1.0
-1.4142 4.4341 -1.2944
0.3417 -3.9576 -4.9159
-15.3120 -4.2057 2.3215
In Sr Ga
4 6 6
direct
0.2077 0.4154 0.4044 In
0.7923 0.5846 0.5956 In
0.2077 0.4154 0.0956 In
0.7923 0.5846 0.9044 In
0.0881 0.1762 0.6106 Sr
0.6281 0.2561 0.2500 Sr
0.9119 0.8238 0.3894 Sr
0.9119 0.8238 0.1106 Sr
0.0881 0.1762 0.8894 Sr
0.3719 0.7439 0.7500 Sr
0.6638 0.3276 0.7500 Ga
0.3362 0.6724 0.2500 Ga
0.3921 0.7842 0.9673 Ga
0.6079 0.2158 0.4673 Ga
0.3921 0.7842 0.5327 Ga
0.6079 0.2158 0.0327 Ga
```

A geometry-optimized SrIn3Ga structure. Source: Alexandria via LeMat-Bulk, functional PBE-GGA.

size of the total moment: 0.000 μB/atom
polymorph energy (0 for the lowest one): 272 meV/atom
formation energy from the elements: -26 meV/atom

POSCAR file:
```
SrIn3Ga
1.0
-2.5422 -3.7110 -3.0218
1.4872 -3.8648 3.4952
-4.5487 0.8104 2.8315
In Sr Ga
3 1 1
direct
0.0000 0.5000 0.0000 In
0.5000 0.0000 0.0000 In
0.0000 0.0000 0.5000 In
0.5000 0.5000 0.5000 Sr
0.0000 0.0000 0.0000 Ga
```

Please write out number 1 again, unchanged.
A geometry-optimized Sr3In2Ga3 structure. Source: Alexandria via LeMat-Bulk, functional PBE-GGA.

size of the total moment: 0.000 μB/atom
formation energy from the elements: -456 meV/atom

POSCAR file:
```
Sr3In2Ga3
1.0
-1.4142 4.4341 -1.2944
0.3417 -3.9576 -4.9159
-15.3120 -4.2057 2.3215
In Sr Ga
4 6 6
direct
0.2077 0.4154 0.4044 In
0.7923 0.5846 0.5956 In
0.2077 0.4154 0.0956 In
0.7923 0.5846 0.9044 In
0.0881 0.1762 0.6106 Sr
0.6281 0.2561 0.2500 Sr
0.9119 0.8238 0.3894 Sr
0.9119 0.8238 0.1106 Sr
0.0881 0.1762 0.8894 Sr
0.3719 0.7439 0.7500 Sr
0.6638 0.3276 0.7500 Ga
0.3362 0.6724 0.2500 Ga
0.3921 0.7842 0.9673 Ga
0.6079 0.2158 0.4673 Ga
0.3921 0.7842 0.5327 Ga
0.6079 0.2158 0.0327 Ga
```

formation energy from the elements of number 1 (Sr3In2Ga3)? -456 meV/atom